Compound: Pr2Tl2H
Source: Alexandria
Functional: GGA-PBE
Structure: relaxed

magnetic moment = 0.000 μB/atom
symmetry = Cmc2_1
total DFT energy (no corrections) = -3.826 eV per atom

Cell: 3.965 6.688 10.548 Å, 90.00 100.83 90.00°
Fractional positions:
Pr (0.402, 0.426, 0.803)
Pr (0.142, 0.454, 0.284)
Pr (0.598, 0.926, 0.197)
Pr (0.858, 0.954, 0.716)
H (0.378, 0.098, 0.756)
H (0.622, 0.598, 0.244)
Tl (0.005, 0.198, 0.010)
Tl (0.227, 0.957, 0.455)
Tl (0.773, 0.457, 0.545)
Tl (0.995, 0.698, 0.990)

Compound: TaTc4Ag
Source: Alexandria
Functional: GGA-PBE
Structure: relaxed

magnetic moment = 0.000 μB/atom
energy of formation from the pure elements = 0.200 eV per atom
symmetry = F-43m
total DFT energy (no corrections) = -9.161 eV per atom

Cell: 5.155 5.155 5.155 Å, 60.00 60.00 60.00°
Fractional positions:
Tc (0.376, 0.376, 0.872)
Tc (0.872, 0.376, 0.376)
Tc (0.376, 0.872, 0.376)
Tc (0.376, 0.376, 0.376)
Ag (0.750, 0.750, 0.750)
Ta (0.000, 0.000, 0.000)

Compound: AcCuSb
Source: Alexandria
Functional: GGA-PBE
Structure: relaxed

magnetic moment = 0.000 μB/atom
energy relative to the elements, uncorrected = -0.27 eV/atom
symmetry = I4mm
total DFT energy (no corrections) = -4.378 eV per atom

Cell: 3.731 3.731 6.301 Å, 107.22 107.22 90.00°
Fractional positions:
Sb (0.300, 0.300, 0.600)
Ac (0.012, 0.012, 0.024)
Cu (0.688, 0.688, 0.377)

Compound: Tl5OF2
Source: Alexandria
Functional: GGA-PBE
Structure: relaxed

magnetic moment = 0.000 μB/atom
energy relative to the elements, uncorrected = -0.92 eV/atom
symmetry = P1
total DFT energy (no corrections) = -3.483 eV per atom

Cell: 6.714 6.714 6.719 Å, 103.48 112.55 112.52°
Fractional positions:
Tl (0.004, 0.711, 0.190)
Tl (0.996, 0.187, 0.709)
Tl (0.522, 0.709, 0.713)
Tl (0.001, 0.223, 0.225)
Tl (0.479, 0.190, 0.186)
O (0.000, 0.925, 0.926)
F (0.499, 0.388, 0.887)
F (0.500, 0.888, 0.388)